1.
AlTc5 | meta-GGA SCAN | single point on PBEsol structure

## Properties
energy of formation	-0.8	eV/f.u.
crystal system	tetragonal
polymorph energy (0 for the lowest one)	42	meV per atom
DOS at the Fermi energy	4.1	states/eV/f.u.
VASP energy	-30.65	eV per atom

The structure in POSCAR format:
```
AlTc5
1.0
2.7884 0.0000 0.0000
0.0000 2.7884 0.0000
0.0000 0.0000 10.7312
Al Tc
1 5
Direct
0.0000 0.0000 0.0000 Al
0.0000 0.0000 0.3234 Tc
0.0000 0.0000 0.6766 Tc
0.5000 0.5000 0.1630 Tc
0.5000 0.5000 0.5000 Tc
0.5000 0.5000 0.8370 Tc
```

2.
YIr2Rh | meta-GGA SCAN | single point on PBEsol structure

## Properties
energy of formation	0.0	eV/f.u.
crystal system	cubic
polymorph energy (0 for the lowest one)	325	meV per atom
DOS at the Fermi energy	3.0	states/eV/f.u.
VASP energy	-50.96	eV per atom

The structure in POSCAR format:
```
YIr2Rh
1.0
6.4060 0.0000 0.0000
0.0000 6.4060 0.0000
0.0000 0.0000 6.4060
Y Ir Rh
4 8 4
Direct
0.0000 0.0000 0.0000 Y
0.0000 0.5000 0.5000 Y
0.5000 0.0000 0.5000 Y
0.5000 0.5000 0.0000 Y
0.2500 0.2500 0.2500 Ir
0.2500 0.2500 0.7500 Ir
0.2500 0.7500 0.2500 Ir
0.2500 0.7500 0.7500 Ir
0.7500 0.2500 0.2500 Ir
0.7500 0.2500 0.7500 Ir
0.7500 0.7500 0.2500 Ir
0.7500 0.7500 0.7500 Ir
0.0000 0.0000 0.5000 Rh
0.0000 0.5000 0.0000 Rh
0.5000 0.0000 0.0000 Rh
0.5000 0.5000 0.5000 Rh
```

3.
YSc2Ta | meta-GGA SCAN | single point on PBEsol structure

## Properties
energy of formation	1.3	eV/f.u.
crystal system	monoclinic
polymorph energy (0 for the lowest one)	57	meV per atom
DOS at the Fermi energy	5.9	states/eV/f.u.
VASP energy	-30.40	eV per atom

The structure in POSCAR format:
```
YSc2Ta
1.0
3.0677 0.0000 0.0000
0.0000 5.0959 0.0000
-0.5201 0.0000 5.8051
Y Sc Ta
1 2 1
Direct
0.0000 0.0000 0.0000 Y
0.2980 0.5000 0.7225 Sc
0.7020 0.5000 0.2775 Sc
0.5000 0.0000 0.5000 Ta
```

4.
NiTeRh2O | meta-GGA SCAN | single point on PBEsol structure

## Properties
crystal system	tetragonal
DOS at the Fermi energy	5.8	states/eV/f.u.
VASP energy	-24.11	eV per atom
formation energy (no corrections)	1.3305	eV/atom

The structure in POSCAR format:
```
NiTeRh2O
1.0
4.4853 0.0000 0.0000
0.0000 4.4853 0.0000
0.0000 0.0000 4.5347
Ni Te Rh O
1 1 2 1
Direct
0.0000 0.0000 0.0000 Ni
0.0000 0.0000 0.5000 Te
0.0000 0.5000 0.0000 Rh
0.5000 0.0000 0.0000 Rh
0.5000 0.5000 0.5000 O
```

5.
NdV2IO9 | meta-GGA SCAN | single point on PBEsol structure

## Properties
crystal system	orthorhombic
DOS at the Fermi energy	0.0	states/eV/f.u.
VASP energy	-15.46	eV per atom
formation energy (no corrections)	-2.2757	eV/atom

The structure in POSCAR format:
```
NdV2IO9
1.0
6.9672 0.0000 0.0000
0.0000 14.4268 0.0000
0.0000 0.0000 7.1803
Nd V I O
4 8 4 36
Direct
0.1455 0.0458 0.2500 Nd
0.1455 0.4542 0.7500 Nd
0.8545 0.5458 0.2500 Nd
0.8545 0.9542 0.7500 Nd
0.1805 0.7287 0.7500 V
0.1805 0.7713 0.2500 V
0.4607 0.2500 0.0000 V
0.4607 0.2500 0.5000 V
0.5393 0.7500 0.0000 V
0.5393 0.7500 0.5000 V
0.8195 0.2287 0.7500 V
0.8195 0.2713 0.2500 V
0.2974 0.0573 0.7500 I
0.2974 0.4427 0.2500 I
0.7026 0.5573 0.7500 I
0.7026 0.9427 0.2500 I
0.0105 0.6928 0.2500 O
0.0105 0.8072 0.7500 O
0.0768 0.6253 0.7500 O
0.0768 0.8747 0.2500 O
0.1728 0.5113 0.0698 O
0.1728 0.5113 0.4302 O
0.1728 0.9887 0.5698 O
0.1728 0.9887 0.9302 O
0.2617 0.7500 0.0000 O
0.2617 0.7500 0.5000 O
0.3253 0.1574 0.0437 O
0.3253 0.1574 0.4563 O
0.3253 0.3426 0.5437 O
0.3253 0.3426 0.9563 O
0.4707 0.5023 0.7500 O
0.4707 0.9977 0.2500 O
0.4720 0.7205 0.7500 O
0.4720 0.7795 0.2500 O
0.5280 0.2205 0.7500 O
0.5280 0.2795 0.2500 O
0.5293 0.0023 0.7500 O
0.5293 0.4977 0.2500 O
0.6747 0.6574 0.0437 O
0.6747 0.6574 0.4563 O
0.6747 0.8426 0.5437 O
0.6747 0.8426 0.9563 O
0.7383 0.2500 0.0000 O
0.7383 0.2500 0.5000 O
0.8272 0.0113 0.0698 O
0.8272 0.0113 0.4302 O
0.8272 0.4887 0.5698 O
0.8272 0.4887 0.9302 O
0.9232 0.1253 0.7500 O
0.9232 0.3747 0.2500 O
0.9895 0.1928 0.2500 O
0.9895 0.3072 0.7500 O
```

6.
AlSbP2S | meta-GGA SCAN | single point on PBEsol structure

## Properties
crystal system	tetragonal
DOS at the Fermi energy	4.3	states/eV/f.u.
VASP energy	-14.04	eV per atom
formation energy (no corrections)	1.0494	eV/atom

The structure in POSCAR format:
```
AlSbP2S
1.0
4.9777 0.0000 0.0000
0.0000 4.9777 0.0000
0.0000 0.0000 4.9247
Al Sb P S
1 1 2 1
Direct
0.0000 0.0000 0.0000 Al
0.5000 0.5000 0.5000 Sb
0.0000 0.5000 0.5000 P
0.5000 0.0000 0.5000 P
0.5000 0.5000 0.0000 S
```

7.
Zn2ReSiPb | meta-GGA SCAN | single point on PBEsol structure

## Properties
crystal system	tetragonal
DOS at the Fermi energy	2.7	states/eV/f.u.
VASP energy	-34.72	eV per atom
formation energy (no corrections)	2.0662	eV/atom

The structure in POSCAR format:
```
Zn2ReSiPb
1.0
4.8810 0.0000 0.0000
0.0000 4.8810 0.0000
0.0000 0.0000 5.3485
Zn Re Si Pb
2 1 1 1
Direct
0.0000 0.5000 0.0000 Zn
0.5000 0.0000 0.0000 Zn
0.0000 0.0000 0.5000 Re
0.5000 0.5000 0.5000 Si
0.5000 0.5000 0.0000 Pb
```

8.
Li4Cr3Cu3W2O16 | meta-GGA SCAN | single point on PBEsol structure

## Properties
crystal system	monoclinic
DOS at the Fermi energy	5.7	states/eV/f.u.
VASP energy	-14.49	eV per atom
formation energy (no corrections)	-2.0118	eV/atom

The structure in POSCAR format:
```
Li4Cr3Cu3W2O16
1.0
5.1099 -2.8851 0.0000
5.1099 2.8851 0.0000
-0.4850 0.0000 9.5905
Li Cr Cu W O
4 3 3 2 16
Direct
0.0000 0.0000 0.0000 Li
0.0099 0.0099 0.5079 Li
0.3352 0.3352 0.4226 Li
0.6520 0.6520 0.9257 Li
0.1740 0.1740 0.7414 Cr
0.3415 0.8376 0.2336 Cr
0.8376 0.3415 0.2336 Cr
0.1741 0.6638 0.7236 Cu
0.6638 0.1741 0.7236 Cu
0.8318 0.8318 0.2267 Cu
0.3322 0.3322 0.0054 W
0.6745 0.6745 0.5058 W
0.0081 0.0081 0.8082 O
0.0103 0.0103 0.3184 O
0.0225 0.4513 0.8796 O
0.1694 0.1694 0.1231 O
0.1764 0.6610 0.1079 O
0.3218 0.3218 0.6384 O
0.3599 0.8538 0.6028 O
0.4513 0.0225 0.8796 O
0.4674 0.4674 0.8749 O
0.5097 0.9632 0.3589 O
0.5235 0.5235 0.3572 O
0.6522 0.6522 0.1285 O
0.6610 0.1764 0.1079 O
0.8412 0.8412 0.5876 O
0.8538 0.3599 0.6028 O
0.9632 0.5097 0.3589 O
```